(1)
{
  "formula": "LaGdYHo",
  "functional": "PBE",
  "state": "optimized geometry",
  "cell": [[5.7537, 0.0000, 0.0000], [2.8768, 4.9828, 0.0000], [2.8768, 1.6609, 4.6978]],
  "species": ["Ho", "Y", "Gd", "La"],
  "frac_coords": [[0.2500, 0.2500, 0.2500], [0.7500, 0.7500, 0.7500], [0.5000, 0.5000, 0.5000], [0.0000, 0.0000, 0.0000]],
  "delta_e_f_ev_per_atom": 0.0967
}

---

(2)
{
  "formula": "La12Nd7Tm",
  "functional": "PBE",
  "state": "optimized geometry",
  "cell": [[-1.3412, 5.9812, 2.0344], [-6.5811, -0.5499, -9.5566], [-3.5534, -6.2297, 9.1382]],
  "species": ["La", "Nd", "La", "La", "Nd", "La", "La", "Nd", "Tm", "La", "La", "La", "La", "Nd", "Nd", "Nd", "La", "Nd", "La", "La"],
  "frac_coords": [[0.0925, 0.1853, 0.5928], [0.3671, 0.2520, 0.2516], [0.0746, 0.6446, 0.6449], [0.9073, 0.4075, 0.8147], [0.1151, 0.9996, 0.7480], [0.5003, 0.5928, 0.4075], [0.4997, 0.4072, 0.5925], [0.1155, 0.7484, 0.0004], [0.0000, 0.0000, 0.0000], [0.9254, 0.3554, 0.3551], [0.4301, 0.0003, 0.3554], [0.9075, 0.8147, 0.4072], [0.5699, 0.9997, 0.6446], [0.8845, 0.2516, 0.9996], [0.5000, 0.0000, 0.0000], [0.8849, 0.0004, 0.2520], [0.4298, 0.3551, 0.9997], [0.6329, 0.7480, 0.7484], [0.5702, 0.6449, 0.0003], [0.0927, 0.5925, 0.1853]],
  "de_polymorph_mev_per_atom": 0.0,
  "delta_e_f_ev_per_atom": 0.1691
}

---

(3)
{
  "formula": "Mg2ZnTcGe",
  "functional": "PBE",
  "state": "optimized geometry",
  "cell": [[4.8668, 0.0000, 0.0000], [0.0000, 4.7092, 0.0000], [0.0000, 0.0000, 4.8668]],
  "species": ["Ge", "Mg", "Tc", "Mg", "Zn"],
  "frac_coords": [[0.0000, 0.0000, 0.0000], [0.5000, 0.0000, 0.0000], [0.0000, 0.5000, 0.0000], [0.0000, 0.0000, 0.5000], [0.5000, 0.5000, 0.5000]],
  "delta_e_f_ev_per_atom": 0.6501
}

---

(4)
{
  "formula": "Cs3Na2HoCl9",
  "functional": "PBE",
  "state": "optimized geometry",
  "cell": [[7.6089, 0.0000, 0.0000], [-3.8045, 6.5895, 0.0000], [0.0000, 0.0000, 9.7192]],
  "species": ["Cl", "Cs", "Cl", "Cl", "Cl", "Cs", "Cl", "Cl", "Cl", "Cl", "Ho", "Cl", "Na", "Cs", "Na"],
  "frac_coords": [[0.1620, 0.3241, 0.3431], [0.6667, 0.3333, 0.3258], [0.5000, 0.5000, 0.0000], [0.5000, 0.0000, 0.0000], [0.6759, 0.8380, 0.3431], [0.3333, 0.6667, 0.6742], [0.8380, 0.6759, 0.6569], [0.3241, 0.1620, 0.6569], [0.8380, 0.1620, 0.6569], [0.0000, 0.5000, 0.0000], [0.0000, 0.0000, 0.5000], [0.1620, 0.8380, 0.3431], [0.6667, 0.3333, 0.8254], [0.0000, 0.0000, 0.0000], [0.3333, 0.6667, 0.1746]],
  "raw_formation_energy_mev_per_atom": -1877
}

---

(5)
{
  "formula": "LiBe2Pd8",
  "functional": "PBE",
  "state": "optimized geometry",
  "cell": [[3.5679, 0.0000, -1.0859], [-1.0249, 5.9293, -3.3676], [0.2365, 0.1101, 7.1816]],
  "species": ["Pd", "Pd", "Be", "Be", "Pd", "Pd", "Pd", "Pd", "Li", "Pd", "Pd"],
  "frac_coords": [[0.0000, 0.6882, 0.0000], [0.6653, 0.8709, 0.3306], [0.7852, 0.2852, 0.5704], [0.2148, 0.7148, 0.4296], [0.1417, 0.1417, 0.2834], [0.0000, 0.3118, 0.0000], [0.8583, 0.8583, 0.7166], [0.3347, 0.1291, 0.6694], [0.5000, 0.0000, 0.0000], [0.6653, 0.4596, 0.3306], [0.3347, 0.5404, 0.6694]],
  "de_polymorph_mev_per_atom": 20.0,
  "delta_e_f_ev_per_atom": -0.2549
}

---

(6)
{
  "formula": "DyAl5Zn7",
  "functional": "PBE",
  "state": "optimized geometry",
  "cell": [[-3.0749, 4.5652, -0.6591], [-3.6431, 1.7144, 5.5581], [3.2892, 5.8105, 1.5884]],
  "species": ["Zn", "Zn", "Zn", "Al", "Al", "Zn", "Al", "Dy", "Zn", "Zn", "Al", "Al", "Zn"],
  "frac_coords": [[0.5003, 0.2155, 0.7838], [0.9977, 0.3564, 0.6482], [0.9977, 0.6482, 0.3564], [0.0005, 0.0050, 0.4967], [0.0005, 0.4967, 0.0050], [0.3520, 0.6480, 0.6480], [0.7184, 0.7816, 0.7816], [0.0033, 0.9967, 0.9967], [0.6469, 0.3531, 0.3531], [0.2869, 0.2131, 0.2131], [0.4978, 0.0050, 0.4967], [0.4978, 0.4967, 0.0050], [0.5003, 0.7838, 0.2155]],
  "delta_e_f_ev_per_atom": -0.1116
}

---

(7)
{
  "formula": "KCdNiSn2",
  "functional": "PBE",
  "state": "optimized geometry",
  "cell": [[5.0637, 0.0000, 0.0000], [0.0000, 5.0637, 0.0000], [0.0000, 0.0000, 5.1906]],
  "species": ["Ni", "Sn", "Cd", "Sn", "K"],
  "frac_coords": [[0.0000, 0.0000, 0.0000], [0.0000, 0.5000, 0.0000], [0.0000, 0.0000, 0.5000], [0.5000, 0.0000, 0.0000], [0.5000, 0.5000, 0.5000]],
  "delta_e_f_ev_per_atom": -0.0486
}

---

(8)
{
  "formula": "Sr4PrTl5",
  "functional": "PBE",
  "state": "optimized geometry",
  "cell": [[-1.5511, 3.5702, -1.1370], [-0.0010, -1.2310, -3.8638], [-18.8378, -7.4288, 2.3718]],
  "species": ["Tl", "Pr", "Sr", "Sr", "Tl", "Tl", "Tl", "Tl", "Sr", "Sr"],
  "frac_coords": [[0.5000, 0.5000, 0.2985], [0.0000, 0.0000, 0.0000], [0.0000, 0.0000, 0.6013], [0.0000, 0.0000, 0.8031], [0.5000, 0.5000, 0.9076], [0.5000, 0.5000, 0.5000], [0.5000, 0.5000, 0.7015], [0.5000, 0.5000, 0.0924], [0.0000, 0.0000, 0.3987], [0.0000, 0.0000, 0.1969]],
  "delta_e_f_ev_per_atom": -0.4167
}

---

(9)
{
  "formula": "NaTcPO2",
  "functional": "PBE",
  "state": "optimized geometry",
  "cell": [[-1.7135, -0.5335, 3.4102], [-2.8609, -1.9106, -1.7364], [2.4745, -4.2333, 0.5811]],
  "species": ["O", "P", "O", "Na", "Tc"],
  "frac_coords": [[0.0000, 0.5000, 0.0000], [0.0000, 0.0000, 0.5000], [0.5000, 0.0000, 0.0000], [0.5000, 0.5000, 0.5000], [0.0000, 0.0000, 0.0000]],
  "raw_formation_energy_mev_per_atom": -780,
  "de_polymorph_mev_per_atom": 0.0
}

---

(10)
{
  "formula": "SrSc2TiSi",
  "functional": "PBE",
  "state": "optimized geometry",
  "cell": [[4.9138, 0.0000, 0.0000], [0.0000, 5.3152, 0.0000], [0.0000, 0.0000, 4.9138]],
  "species": ["Si", "Sc", "Ti", "Sr", "Sc"],
  "frac_coords": [[0.0000, 0.5000, 0.0000], [0.0000, 0.0000, 0.5000], [0.5000, 0.5000, 0.5000], [0.0000, 0.0000, 0.0000], [0.5000, 0.0000, 0.0000]],
  "raw_formation_energy_mev_per_atom": 1635
}

---

(11)
{
  "formula": "La4HgGe2",
  "functional": "PBE",
  "state": "optimized geometry",
  "cell": [[8.1037, -1.0101, -0.1634], [-1.5893, 8.0075, 0.1649], [-3.1361, -3.6094, 6.6196]],
  "species": ["Ge", "La", "Ge", "La", "Hg", "La", "La", "Ge", "La", "La", "Hg", "La", "Ge", "La"],
  "frac_coords": [[0.1249, 0.5047, 0.8799], [0.8574, 0.6094, 0.0970], [0.6249, 0.2451, 0.1202], [0.0105, 0.2620, 0.4026], [0.2496, 0.7498, 0.4995], [0.3926, 0.9897, 0.2521], [0.7382, 0.1407, 0.7488], [0.4952, 0.3752, 0.6202], [0.8593, 0.6075, 0.5971], [0.5117, 0.7607, 0.9026], [0.0003, 0.9998, 0.0001], [0.3908, 0.4879, 0.2484], [0.7550, 0.8751, 0.3800], [0.2396, 0.1423, 0.7516]],
  "de_polymorph_mev_per_atom": 0.0,
  "delta_e_f_ev_per_atom": -0.6566
}

---

(12)
{
  "formula": "MgTlHg",
  "functional": "PBE",
  "state": "optimized geometry",
  "cell": [[3.6690, 0.0000, 0.0000], [0.0000, 3.6690, 0.0000], [-1.8345, -1.8345, 12.1055]],
  "species": ["Tl", "Hg", "Tl", "Mg", "Hg", "Mg"],
  "frac_coords": [[0.5687, 0.5687, 0.1375], [0.8424, 0.8424, 0.6849], [0.4313, 0.4313, 0.8625], [0.7122, 0.7122, 0.4243], [0.1576, 0.1576, 0.3151], [0.2878, 0.2878, 0.5757]],
  "de_polymorph_mev_per_atom": 0.3,
  "delta_e_f_ev_per_atom": -0.0686
}